Record 1
Here is a geometry-optimized Er2MgPt9 structure from Alexandria via LeMat-Bulk. Energies are from GGA-PBE.

Properties
For the formation energy from the elements, the calculation gives -904 meV per atom. The value obtained for the energy is -6.33 eV/atom.

abc: 4.0633 4.0633 12.1180
angles: 90.00 90.00 90.00
Sites, in units of the cell vectors:
1 Er 0.0000 0.0000 0.1712
2 Er 0.0000 0.0000 0.8288
3 Mg 0.0000 0.0000 0.5000
4 Pt 0.0000 0.5000 0.0000
5 Pt 0.0000 0.5000 0.3420
6 Pt 0.0000 0.5000 0.6580
7 Pt 0.5000 0.0000 0.0000
8 Pt 0.5000 0.0000 0.3420
9 Pt 0.5000 0.0000 0.6580
10 Pt 0.5000 0.5000 0.1706
11 Pt 0.5000 0.5000 0.5000
12 Pt 0.5000 0.5000 0.8294

---

Record 2
Here is a geometry-optimized Er6MgPt structure from Alexandria via LeMat-Bulk. Energies are from GGA-PBE.

Properties
For the formation energy from the elements, the calculation gives -46 meV per atom. The value obtained for the energy is -4.42 eV/atom.

abc: 7.0225 7.0273 7.1407
angles: 90.18 119.29 119.85
Sites, in units of the cell vectors:
1 Er 0.0383 0.0679 0.2558
2 Er 0.2846 0.7170 0.2553
3 Er 0.3098 0.5278 0.7445
4 Er 0.6902 0.4722 0.2555
5 Er 0.7154 0.2830 0.7447
6 Er 0.9617 0.9321 0.7442
7 Mg 0.5000 0.0000 0.0000
8 Pt 0.5000 0.5000 0.5000

---

Record 3
Here is a geometry-optimized Er3MgPt structure from Alexandria via LeMat-Bulk. Energies are from GGA-PBE.

Properties
For the formation energy from the elements, the calculation gives -414 meV per atom. The value obtained for the energy is -4.68 eV/atom.

abc: 3.8856 9.0304 9.0304
angles: 111.38 90.00 90.00
Sites, in units of the cell vectors:
1 Er 0.0000 0.1215 0.8785
2 Er 0.0000 0.2854 0.5282
3 Er 0.0000 0.5282 0.2854
4 Er 0.0000 0.8785 0.1215
5 Er 0.5000 0.5196 0.8877
6 Er 0.5000 0.8877 0.5196
7 Mg 0.0000 0.7022 0.7022
8 Mg 0.5000 0.2025 0.2025
9 Pt 0.5000 0.2038 0.7037
10 Pt 0.5000 0.7037 0.2038

---

Record 4
Here is a geometry-optimized ErMgPt4 structure from Alexandria via LeMat-Bulk. Energies are from GGA-PBE.

Properties
For the formation energy from the elements, the calculation gives -752 meV per atom. The value obtained for the energy is -5.81 eV/atom.

abc: 5.1343 5.1343 5.9277
angles: 107.42 107.42 44.64
Sites, in units of the cell vectors:
1 Er 0.0000 0.0000 0.0000
2 Mg 0.0000 0.0000 0.5000
3 Pt 0.3333 0.3333 0.1785
4 Pt 0.3387 0.3387 0.6555
5 Pt 0.6613 0.6613 0.3445
6 Pt 0.6667 0.6667 0.8215

---

Record 5
Here is a geometry-optimized ErMgPt structure from Alexandria via LeMat-Bulk. Energies are from GGA-PBE.

Properties
For the formation energy from the elements, the calculation gives -861 meV per atom. The value obtained for the energy is -4.93 eV/atom.

abc: 4.6562 4.6562 4.6562
angles: 60.00 60.00 60.00
Sites, in units of the cell vectors:
1 Er 0.0000 0.0000 0.0000
2 Mg 0.5000 0.5000 0.5000
3 Pt 0.2500 0.2500 0.2500

---

Record 6
Here is a geometry-optimized Er6Mg2Pt structure from Alexandria via LeMat-Bulk. Energies are from GGA-PBE.

Properties
For the formation energy from the elements, the calculation gives -198 meV per atom. The value obtained for the energy is -4.27 eV/atom.

abc: 6.4640 7.6150 11.1082
angles: 90.00 111.90 90.00
Sites, in units of the cell vectors:
1 Er 0.1109 0.0327 0.2534
2 Er 0.1109 0.4673 0.7534
3 Er 0.1677 0.7129 0.0302
4 Er 0.1677 0.7871 0.5302
5 Er 0.3420 0.1599 0.0063
6 Er 0.3420 0.3401 0.5063
7 Er 0.6580 0.6599 0.4937
8 Er 0.6580 0.8401 0.9937
9 Er 0.8323 0.2129 0.4698
10 Er 0.8323 0.2871 0.9698
11 Er 0.8891 0.5327 0.2466
12 Er 0.8891 0.9673 0.7466
13 Mg 0.3921 0.0854 0.7368
14 Mg 0.3921 0.4146 0.2368
15 Mg 0.6079 0.5854 0.7632
16 Mg 0.6079 0.9146 0.2632
17 Pt 0.5000 0.0000 0.5000
18 Pt 0.5000 0.5000 0.0000

---

Record 7
Here is a geometry-optimized ErMgPtRh structure from Alexandria via LeMat-Bulk. Energies are from GGA-PBE.

Properties
For the formation energy from the elements, the calculation gives -906 meV per atom. The value obtained for the energy is -5.79 eV/atom.

abc: 4.6668 4.6668 4.6668
angles: 60.00 60.00 60.00
Sites, in units of the cell vectors:
1 Er 0.0000 0.0000 0.0000
2 Mg 0.5000 0.5000 0.5000
3 Pt 0.7500 0.7500 0.7500
4 Rh 0.2500 0.2500 0.2500

---

Record 8
Here is a geometry-optimized Er4MgRu2Pt structure from Alexandria via LeMat-Bulk. Energies are from GGA-PBE.

Properties
For the formation energy from the elements, the calculation gives -576 meV per atom. The value obtained for the energy is -6.13 eV/atom.

abc: 8.5150 8.5150 8.5150
angles: 33.30 33.30 33.30
Sites, in units of the cell vectors:
1 Er 0.1207 0.1207 0.1207
2 Er 0.3717 0.3717 0.3717
3 Er 0.6283 0.6283 0.6283
4 Er 0.8793 0.8793 0.8793
5 Mg 0.5000 0.5000 0.5000
6 Ru 0.2473 0.2473 0.2473
7 Ru 0.7527 0.7527 0.7527
8 Pt 0.0000 0.0000 0.0000